The following is a DFT calculation (GGA-PBE) of crystalline Pr2TcC4 at its relaxed geometry.

abc: 5.4170 6.9585 6.9585
angles: 69.91 67.09 67.09
Sites, in units of the cell vectors:
Pr  0.3490  0.8024  0.4997
Pr  0.6510  0.1976  0.5003
Pr  0.8490  0.4997  0.8024
Pr  0.1510  0.5003  0.1976
C  0.1229  0.2140  0.5402
C  0.8771  0.7860  0.4598
C  0.6229  0.5402  0.2140
C  0.3771  0.4598  0.7860
C  0.0750  0.1023  0.7477
C  0.9250  0.8977  0.2523
C  0.5750  0.7477  0.1023
C  0.4250  0.2523  0.8977
Tc  0.2500  0.0000  0.0000
Tc  0.7500  0.0000  0.0000

## Properties
Energy relative to the elements, eV/f.u.: -0.81
Space-group type: No. 72
Calculated volume, Å³/cell: 216.8
Magnetization, μB/f.u.: 0.0